1.
The following is a DFT calculation (PBE) of a relaxed structure of In2GaPt2.

Values from the calculation:
As for the formation enthalpy at 0 K: -24 kJ per mole of atoms. The calculation puts the raw total energy at -4.363 eV/atom. As for the crystal system: tetragonal. The space group is P4/mbm, No. 127.

The structure in POSCAR format:
```
In2GaPt2
1.0
-3.764 7.236 -0.710
-1.581 -0.034 8.034
2.556 1.379 0.509
Pt Ga In
4 2 4
Cartesian
-0.281 3.232 1.194
-2.509 5.350 6.639
-2.486 6.843 2.477
-0.304 1.739 5.355
0.000 0.000 0.000
-2.673 3.601 3.662
-4.231 6.140 4.605
-2.670 2.515 6.591
-1.115 1.062 2.719
-2.676 4.687 0.732
```

***

2.
The following is a DFT calculation (PBE) of a relaxed structure of Al2CuCl.

Values from the calculation:
The calculation puts the raw total energy at -3.406 eV/atom. As for the crystal system: orthorhombic. The calculation puts the energy above the most stable polymorph in this dataset at 178 meV/atom. The space group is Cmm2, No. 35.

The structure in POSCAR format:
```
Al2CuCl
1.0
3.003 0.133 0.000
-0.086 3.005 0.000
0.000 0.000 7.811
Al Cl Cu
2 1 1
Cartesian
0.000 0.000 7.706
1.458 1.569 1.882
0.000 0.000 3.591
1.458 1.569 6.348
```

***

3.
The following is a DFT calculation (PBE) of a relaxed structure of DyPu2Te3.

Values from the calculation:
The calculation puts the raw total energy at -8.284 eV/atom. As for the crystal system: orthorhombic. The space group is Immm, No. 71.

The structure in POSCAR format:
```
DyPu2Te3
1.0
-1.329 -3.878 1.611
5.630 -2.416 -1.170
-0.125 4.953 5.800
Dy Te Pu
1 3 2
Cartesian
2.815 -1.208 -0.585
1.360 1.213 4.043
0.000 0.000 0.000
2.816 -2.553 2.198
4.163 -0.006 3.420
0.014 -1.334 2.821
```

***

4.
The following is a DFT calculation (PBE) of a relaxed structure of Cr2W.

Values from the calculation:
As for the formation enthalpy at 0 K: 18 kJ per mole of atoms. The calculation puts the raw total energy at -10.546 eV/atom. As for the crystal system: orthorhombic. The calculation puts the energy above the most stable polymorph in this dataset at 134 meV/atom. The space group is Pnma, No. 62.

The structure in POSCAR format:
```
Cr2W
1.0
-0.579 -3.758 -3.308
3.265 1.505 -2.281
4.708 -4.212 3.960
Cr W
8 4
Cartesian
4.815 -6.051 0.912
5.385 -5.719 -2.026
5.720 -3.881 -0.333
1.673 -2.584 -1.297
2.579 -0.414 -2.542
2.009 -0.746 0.396
3.996 -3.820 -2.760
3.397 -2.645 1.131
5.013 -4.093 2.487
4.195 -1.857 -1.181
2.381 -2.372 -4.117
3.199 -4.608 -0.449
```

***

5.
The following is a DFT calculation (PBE) of a relaxed structure of PuTiPd2.

Values from the calculation:
As for the formation enthalpy at 0 K: -24 kJ per mole of atoms. The calculation puts the raw total energy at -8.398 eV/atom. As for the crystal system: trigonal. The calculation puts the energy above the most stable polymorph in this dataset at 217 meV/atom. The space group is R-3m, No. 166.

The structure in POSCAR format:
```
PuTiPd2
1.0
-0.147 -0.879 2.767
2.389 0.006 1.656
-1.181 8.683 4.222
Pd Pu Ti
2 1 1
Cartesian
0.743 6.104 6.559
0.318 1.707 2.086
0.531 3.905 4.323
0.000 0.000 0.000
```

***

6.
The following is a DFT calculation (PBE) of a relaxed structure of LaHfAu.

Values from the calculation:
As for the formation enthalpy at 0 K: 21 kJ per mole of atoms. The calculation puts the raw total energy at -5.832 eV/atom. As for the crystal system: cubic. The calculation puts the energy above the most stable polymorph in this dataset at 626 meV/atom. The space group is F-43m, No. 216.

The structure in POSCAR format:
```
LaHfAu
1.0
3.724 -0.764 2.941
-0.519 -2.829 3.850
2.124 -4.310 0.119
Hf Au La
1 1 1
Cartesian
2.664 -3.951 3.455
3.996 -5.927 5.183
1.332 -1.976 1.728
```

***

7.
The following is a DFT calculation (PBE) of a relaxed structure of TaFe2Ni.

Values from the calculation:
As for the formation enthalpy at 0 K: -12 kJ per mole of atoms. The calculation puts the raw total energy at -8.765 eV/atom. As for the crystal system: orthorhombic. The space group is Imm2, No. 44.

The structure in POSCAR format:
```
TaFe2Ni
1.0
4.598 -0.016 -0.047
1.697 4.273 0.047
-3.116 -2.174 2.589
Ni Fe Ta
1 2 1
Cartesian
3.148 2.129 0.000
2.315 -0.031 1.271
6.294 4.257 0.000
0.864 2.113 1.318
```

***

8.
The following is a DFT calculation (PBE) of a relaxed structure of In2GaHg5Pb.

Values from the calculation:
As for the formation enthalpy at 0 K: 4 kJ per mole of atoms. The calculation puts the raw total energy at -1.480 eV/atom. As for the crystal system: orthorhombic. The space group is Cmc2_1, No. 36.

The structure in POSCAR format:
```
In2GaHg5Pb
1.0
3.326 0.000 0.000
-1.663 8.671 0.000
0.000 0.000 16.991
Pb Hg Ga In
2 10 2 4
Cartesian
0.000 8.594 6.599
1.663 0.078 15.094
1.663 8.037 9.359
1.663 2.318 9.116
1.663 3.039 2.916
1.663 0.058 11.926
0.000 0.634 0.864
0.000 5.633 11.411
0.000 8.614 3.431
0.000 5.449 6.598
0.000 6.354 0.620
1.663 3.222 15.094
0.000 3.555 0.528
1.663 5.117 9.023
1.663 5.908 3.786
0.000 2.764 12.281
0.000 2.651 5.650
1.663 6.021 14.146
```

***

9.
The following is a DFT calculation (PBE) of a relaxed structure of CaNpSi4.

Values from the calculation:
The calculation puts the raw total energy at -6.375 eV/atom. As for the crystal system: orthorhombic. The space group is Pmmm, No. 47.

The structure in POSCAR format:
```
CaNpSi4
1.0
-1.182 -3.793 -0.338
3.743 -1.233 0.753
-1.459 -0.167 6.979
Si Np Ca
4 1 1
Cartesian
0.905 -0.727 5.000
1.379 -0.673 2.732
-1.214 -0.139 5.805
-0.245 -0.028 1.174
-1.321 -1.980 3.321
1.280 -2.513 0.208
```

***

10.
The following is a DFT calculation (PBE) of a relaxed structure of Zn2FeCo.

Values from the calculation:
As for the formation enthalpy at 0 K: 6 kJ per mole of atoms. The calculation puts the raw total energy at -4.468 eV/atom. As for the crystal system: trigonal. The calculation puts the energy above the most stable polymorph in this dataset at 69 meV/atom. The space group is R3m, No. 160.

The structure in POSCAR format:
```
Zn2FeCo
1.0
-2.064 1.320 0.925
-1.883 -1.264 1.310
2.831 1.395 8.034
Fe Zn Co
1 2 1
Cartesian
-0.558 0.725 5.134
-0.295 0.358 2.540
1.811 1.057 6.241
0.199 1.432 9.524
```

***

11.
The following is a DFT calculation (PBE) of a relaxed structure of PbW7.

Values from the calculation:
As for the formation enthalpy at 0 K: 66 kJ per mole of atoms. The calculation puts the raw total energy at -11.109 eV/atom. As for the crystal system: cubic. The space group is Fm-3m, No. 225.

The structure in POSCAR format:
```
PbW7
1.0
-0.203 -4.799 -3.201
1.859 -5.008 2.187
-3.780 -4.168 1.286
W Pb
7 1
Cartesian
0.828 -4.904 -0.507
-0.102 -2.400 -1.600
-1.062 -6.988 0.136
-1.992 -4.484 -0.957
0.930 -2.504 1.093
-0.960 -4.588 1.736
-1.890 -2.084 0.643
0.000 0.000 0.000
```

***

12.
The following is a DFT calculation (PBE) of a relaxed structure of LiTl2AsCl6.

Values from the calculation:
The calculation puts the raw total energy at -3.265 eV/atom. As for the crystal system: triclinic. The space group is P1, No. 1.

The structure in POSCAR format:
```
LiTl2AsCl6
1.0
7.343 -0.336 0.006
-0.332 7.327 -0.004
-3.504 -3.498 4.948
Cl As Tl Li
6 1 2 1
Cartesian
0.397 0.292 2.464
3.170 3.133 2.479
5.301 5.209 0.491
5.633 1.374 0.031
-1.731 -1.781 4.457
-1.953 1.957 4.904
7.333 -0.324 0.007
-0.183 3.683 2.477
3.663 -0.140 2.488
3.248 3.761 0.003
```